Below is crystalline Sm12Dy2Mg at its relaxed geometry, with properties calculated at the PBE level.

Results
Calculated volume (A^3/atom): 33.8
Formation energy (meV/atom): 148

Cell lengths 6.7819, 6.7819, 24.6084 Å; angles 90.00, 90.00, 116.35 degrees
Element x y z (fractional)
Sm: 0.0010 0.5010 0.1260
Sm: 0.0006 0.9994 0.9259
Sm: 0.0176 0.5176 0.5871
Sm: 0.0233 0.9767 0.4393
Sm: 0.2500 0.2500 0.1966
Sm: 0.2500 0.2500 0.3240
Sm: 0.2500 0.2500 0.6760
Sm: 0.2500 0.2500 0.8034
Sm: 0.4767 0.5233 0.4393
Sm: 0.4824 0.9824 0.5871
Sm: 0.4994 0.5006 0.9259
Sm: 0.4990 0.9990 0.1260
Sm: 0.5010 0.0010 0.8740
Sm: 0.5006 0.4994 0.0741
Sm: 0.5176 0.0176 0.4129
Sm: 0.5233 0.4767 0.5607
Sm: 0.7500 0.7500 0.1966
Sm: 0.7500 0.7500 0.3240
Sm: 0.7500 0.7500 0.6760
Sm: 0.7500 0.7500 0.8034
Sm: 0.9767 0.0233 0.5607
Sm: 0.9824 0.4824 0.4129
Sm: 0.9994 0.0006 0.0741
Sm: 0.9990 0.4990 0.8740
Dy: 0.2500 0.7500 0.2672
Dy: 0.2500 0.7500 0.7368
Dy: 0.7500 0.2500 0.2632
Dy: 0.7500 0.2500 0.7328
Mg: 0.2500 0.7500 0.0001
Mg: 0.7500 0.2500 0.9999